Record 1
# ZnAsNO PBE optimized geometry
# E above lowest polymorph = 0.201 eV per atom
data_ZnAsNO
_chemical_formula_sum 'Zn2 As2 N2 O2'
_space_group_name_H-M_alt 'P 1'
_space_group_IT_number 1
_cell_length_a 3.514
_cell_length_b 5.196
_cell_length_c 5.548
_cell_angle_alpha 90.00
_cell_angle_beta 90.00
_cell_angle_gamma 90.00
loop_
_space_group_symop_operation_xyz
'x,y,z'
loop_
_atom_site_label
_atom_site_type_symbol
_atom_site_fract_x
_atom_site_fract_y
_atom_site_fract_z
_atom_site_occupancy
Zn1 Zn 0.000 0.215 0.000 1
Zn2 Zn 0.000 0.785 0.500 1
As1 As 0.500 0.279 0.463 1
As2 As 0.500 0.721 0.963 1
N1 N 0.500 0.393 0.093 1
N2 N 0.500 0.607 0.593 1
O1 O 0.000 0.156 0.643 1
O2 O 0.000 0.844 0.143 1

Record 2
# ZnAsNO PBE optimized geometry
# E above lowest polymorph = 0.147 eV per atom
data_ZnAsNO
_chemical_formula_sum 'Zn4 As4 N4 O4'
_space_group_name_H-M_alt 'P 1'
_space_group_IT_number 1
_cell_length_a 5.296
_cell_length_b 6.358
_cell_length_c 5.893
_cell_angle_alpha 90.00
_cell_angle_beta 90.00
_cell_angle_gamma 90.00
loop_
_space_group_symop_operation_xyz
'x,y,z'
loop_
_atom_site_label
_atom_site_type_symbol
_atom_site_fract_x
_atom_site_fract_y
_atom_site_fract_z
_atom_site_occupancy
Zn1 Zn 0.059 0.131 0.000 1
Zn2 Zn 0.441 0.131 0.500 1
Zn3 Zn 0.559 0.869 0.000 1
Zn4 Zn 0.941 0.869 0.500 1
As1 As 0.037 0.649 0.075 1
As2 As 0.463 0.649 0.575 1
As3 As 0.537 0.351 0.075 1
As4 As 0.963 0.351 0.575 1
N1 N 0.135 0.591 0.469 1
N2 N 0.365 0.591 0.969 1
N3 N 0.635 0.409 0.469 1
N4 N 0.865 0.409 0.969 1
O1 O 0.098 0.118 0.341 1
O2 O 0.402 0.118 0.841 1
O3 O 0.598 0.882 0.341 1
O4 O 0.902 0.882 0.841 1

Record 3
# ZnAsNO PBE optimized geometry
# E above lowest polymorph = 0.617 eV per atom
data_ZnAsNO
_chemical_formula_sum 'Zn2 As2 N2 O2'
_space_group_name_H-M_alt 'P 1'
_space_group_IT_number 1
_cell_length_a 3.545
_cell_length_b 3.545
_cell_length_c 7.340
_cell_angle_alpha 90.00
_cell_angle_beta 90.00
_cell_angle_gamma 90.00
loop_
_space_group_symop_operation_xyz
'x,y,z'
loop_
_atom_site_label
_atom_site_type_symbol
_atom_site_fract_x
_atom_site_fract_y
_atom_site_fract_z
_atom_site_occupancy
Zn1 Zn 0.250 0.750 0.000 1
Zn2 Zn 0.750 0.250 0.000 1
As1 As 0.250 0.250 0.350 1
As2 As 0.750 0.750 0.650 1
N1 N 0.250 0.250 0.843 1
N2 N 0.750 0.750 0.157 1
O1 O 0.250 0.750 0.500 1
O2 O 0.750 0.250 0.500 1

Record 4
# ZnAsNO PBE optimized geometry
# E above lowest polymorph = 0.061 eV per atom
data_ZnAsNO
_chemical_formula_sum 'Zn4 As4 N4 O4'
_space_group_name_H-M_alt 'P 1'
_space_group_IT_number 1
_cell_length_a 6.443
_cell_length_b 6.204
_cell_length_c 5.173
_cell_angle_alpha 90.00
_cell_angle_beta 90.00
_cell_angle_gamma 90.00
loop_
_space_group_symop_operation_xyz
'x,y,z'
loop_
_atom_site_label
_atom_site_type_symbol
_atom_site_fract_x
_atom_site_fract_y
_atom_site_fract_z
_atom_site_occupancy
Zn1 Zn 0.123 0.124 0.000 1
Zn2 Zn 0.377 0.124 0.500 1
Zn3 Zn 0.623 0.876 0.000 1
Zn4 Zn 0.877 0.876 0.500 1
As1 As 0.099 0.666 0.002 1
As2 As 0.401 0.666 0.502 1
As3 As 0.599 0.334 0.002 1
As4 As 0.901 0.334 0.502 1
N1 N 0.073 0.126 0.385 1
N2 N 0.427 0.126 0.885 1
N3 N 0.573 0.874 0.385 1
N4 N 0.927 0.874 0.885 1
O1 O 0.050 0.412 0.812 1
O2 O 0.450 0.412 0.312 1
O3 O 0.550 0.588 0.812 1
O4 O 0.950 0.588 0.312 1

Record 5
# ZrAsNO PBE optimized geometry
# E above lowest polymorph = 0.027 eV per atom
# magnetization = 0.001 μB/f.u.
data_ZrAsNO
_chemical_formula_sum 'Zr2 As2 N2 O2'
_space_group_name_H-M_alt 'P 1'
_space_group_IT_number 1
_cell_length_a 3.247
_cell_length_b 6.769
_cell_length_c 6.834
_cell_angle_alpha 90.00
_cell_angle_beta 90.00
_cell_angle_gamma 90.00
loop_
_space_group_symop_operation_xyz
'x,y,z'
loop_
_atom_site_label
_atom_site_type_symbol
_atom_site_fract_x
_atom_site_fract_y
_atom_site_fract_z
_atom_site_occupancy
Zr1 Zr 0.000 0.149 0.000 1
Zr2 Zr 0.000 0.851 0.500 1
As1 As 0.500 0.217 0.540 1
As2 As 0.500 0.783 0.040 1
N1 N 0.000 0.106 0.686 1
N2 N 0.000 0.894 0.186 1
O1 O 0.500 0.299 0.077 1
O2 O 0.500 0.701 0.577 1

Record 6
# ZrAsNO PBE optimized geometry
# E above lowest polymorph = 0.000 eV per atom
# magnetization = 0.001 μB/f.u.
data_ZrAsNO
_chemical_formula_sum 'Zr4 As4 N4 O4'
_space_group_name_H-M_alt 'P 1'
_space_group_IT_number 1
_cell_length_a 5.784
_cell_length_b 7.194
_cell_length_c 5.085
_cell_angle_alpha 90.00
_cell_angle_beta 90.00
_cell_angle_gamma 90.00
loop_
_space_group_symop_operation_xyz
'x,y,z'
loop_
_atom_site_label
_atom_site_type_symbol
_atom_site_fract_x
_atom_site_fract_y
_atom_site_fract_z
_atom_site_occupancy
Zr1 Zr 0.011 0.153 0.000 1
Zr2 Zr 0.489 0.153 0.500 1
Zr3 Zr 0.511 0.847 0.000 1
Zr4 Zr 0.989 0.847 0.500 1
As1 As 0.096 0.623 0.069 1
As2 As 0.404 0.623 0.569 1
As3 As 0.596 0.377 0.069 1
As4 As 0.904 0.377 0.569 1
N1 N 0.092 0.387 0.244 1
N2 N 0.408 0.387 0.744 1
N3 N 0.592 0.613 0.244 1
N4 N 0.908 0.613 0.744 1
O1 O 0.234 0.994 0.749 1
O2 O 0.266 0.994 0.249 1
O3 O 0.734 0.006 0.749 1
O4 O 0.766 0.006 0.249 1